{"formula": "Cs12Sn2As6O", "functional": "GGA-PBEsol", "state": "relaxed", "raw_formation_energy_ev_per_atom": -0.54, "space_group": "P-3m1", "cell": [[11.975, 0.000, 0.000], [-5.988, 10.371, 0.000], [0.000, 0.000, 6.324]], "species": ["Cs", "Cs", "Cs", "Cs", "Cs", "Cs", "Cs", "Cs", "Cs", "Cs", "Cs", "Cs", "Sn", "Sn", "As", "As", "As", "As", "As", "As", "O"], "frac_coords": [[0.091, 0.546, 0.248], [0.117, 0.234, 0.269], [0.117, 0.883, 0.269], [0.234, 0.117, 0.731], [0.454, 0.546, 0.248], [0.454, 0.909, 0.248], [0.546, 0.091, 0.752], [0.546, 0.454, 0.752], [0.766, 0.883, 0.269], [0.883, 0.117, 0.731], [0.883, 0.766, 0.731], [0.909, 0.454, 0.752], [0.333, 0.667, 0.747], [0.667, 0.333, 0.253], [0.211, 0.421, 0.749], [0.211, 0.789, 0.749], [0.421, 0.211, 0.251], [0.579, 0.789, 0.749], [0.789, 0.211, 0.251], [0.789, 0.579, 0.251], [0.000, 0.000, 0.500]]}